Here is a relaxed LaPm6Dy2Y crystal from Alexandria. Energies are from PBE.

The structure in CIF format:
```
data_LaPm6Dy2Y
_space_group_name_H-M_alt 'P 1'
_space_group_IT_number 1
_cell_length_a 8.964
_cell_length_b 8.964
_cell_length_c 9.783
_cell_angle_alpha 94.13
_cell_angle_beta 94.13
_cell_angle_gamma 118.02
loop_
_space_group_symop_operation_xyz
'x,y,z'
loop_
_atom_site_label
_atom_site_type_symbol
_atom_site_fract_x
_atom_site_fract_y
_atom_site_fract_z
La1 La 0.094 0.906 0.750
La2 La 0.906 0.094 0.250
Pm1 Pm 0.005 0.793 0.379
Pm2 Pm 0.069 0.523 0.182
Pm3 Pm 0.207 0.995 0.121
Pm4 Pm 0.258 0.615 0.555
Pm5 Pm 0.385 0.742 0.945
Pm6 Pm 0.477 0.931 0.318
Pm7 Pm 0.523 0.069 0.682
Pm8 Pm 0.615 0.258 0.055
Pm9 Pm 0.742 0.385 0.445
Pm10 Pm 0.793 0.005 0.879
Pm11 Pm 0.931 0.477 0.818
Pm12 Pm 0.995 0.207 0.621
Dy1 Dy 0.206 0.306 0.956
Dy2 Dy 0.306 0.206 0.456
Dy3 Dy 0.694 0.794 0.544
Dy4 Dy 0.794 0.694 0.044
Y1 Y 0.472 0.528 0.250
Y2 Y 0.528 0.472 0.750
```

## Properties
Its formation energy is 0.12 eV per atom. As for the spin magnetization: 0.00 μB/f.u. The total energy is -4.795 eV per atom.


Here is a relaxed Ca3Rh2Pb2 crystal from Alexandria. Energies are from PBE.

The structure in CIF format:
```
data_Ca3Rh2Pb2
_space_group_name_H-M_alt 'P 1'
_space_group_IT_number 1
_cell_length_a 5.984
_cell_length_b 8.210
_cell_length_c 14.364
_cell_angle_alpha 90.00
_cell_angle_beta 90.00
_cell_angle_gamma 90.00
loop_
_space_group_symop_operation_xyz
'x,y,z'
loop_
_atom_site_label
_atom_site_type_symbol
_atom_site_fract_x
_atom_site_fract_y
_atom_site_fract_z
Ca1 Ca 0.113 0.246 0.250
Ca2 Ca 0.113 0.254 0.750
Ca3 Ca 0.337 0.603 0.092
Ca4 Ca 0.337 0.603 0.408
Ca5 Ca 0.337 0.897 0.592
Ca6 Ca 0.337 0.897 0.908
Ca7 Ca 0.663 0.103 0.092
Ca8 Ca 0.663 0.103 0.408
Ca9 Ca 0.663 0.397 0.592
Ca10 Ca 0.663 0.397 0.908
Ca11 Ca 0.887 0.746 0.250
Ca12 Ca 0.887 0.754 0.750
Rh1 Rh 0.134 0.541 0.593
Rh2 Rh 0.134 0.541 0.907
Rh3 Rh 0.134 0.959 0.093
Rh4 Rh 0.134 0.959 0.407
Rh5 Rh 0.866 0.041 0.593
Rh6 Rh 0.866 0.041 0.907
Rh7 Rh 0.866 0.459 0.093
Rh8 Rh 0.866 0.459 0.407
Pb1 Pb 0.156 0.250 0.000
Pb2 Pb 0.156 0.250 0.500
Pb3 Pb 0.387 0.598 0.750
Pb4 Pb 0.387 0.902 0.250
Pb5 Pb 0.613 0.098 0.750
Pb6 Pb 0.613 0.402 0.250
Pb7 Pb 0.844 0.750 0.000
Pb8 Pb 0.844 0.750 0.500
```

## Properties
Its formation energy is -0.53 eV per atom. As for the spin magnetization: 0.00 μB/f.u. The total energy is -4.550 eV per atom.


Here is a relaxed BaNaPtAu crystal from Alexandria. Energies are from PBE.

The structure in CIF format:
```
data_BaNaPtAu
_space_group_name_H-M_alt 'P 1'
_space_group_IT_number 1
_cell_length_a 5.324
_cell_length_b 5.324
_cell_length_c 5.324
_cell_angle_alpha 60.00
_cell_angle_beta 60.00
_cell_angle_gamma 60.00
loop_
_space_group_symop_operation_xyz
'x,y,z'
loop_
_atom_site_label
_atom_site_type_symbol
_atom_site_fract_x
_atom_site_fract_y
_atom_site_fract_z
Ba1 Ba 0.000 0.000 0.000
Na1 Na 0.500 0.500 0.500
Pt1 Pt 0.750 0.750 0.750
Au1 Au 0.250 0.250 0.250
```

## Properties
Its formation energy is -0.40 eV per atom. As for the spin magnetization: 0.00 μB/f.u. The total energy is -3.545 eV per atom.


Here is a relaxed ErMnRu crystal from Alexandria. Energies are from PBE.

The structure in CIF format:
```
data_ErMnRu
_space_group_name_H-M_alt 'P 1'
_space_group_IT_number 1
_cell_length_a 5.256
_cell_length_b 5.256
_cell_length_c 5.256
_cell_angle_alpha 119.86
_cell_angle_beta 119.17
_cell_angle_gamma 90.84
loop_
_space_group_symop_operation_xyz
'x,y,z'
loop_
_atom_site_label
_atom_site_type_symbol
_atom_site_fract_x
_atom_site_fract_y
_atom_site_fract_z
Er1 Er 0.377 0.127 0.250
Er2 Er 0.623 0.873 0.750
Mn1 Mn 0.000 0.000 0.500
Mn2 Mn 0.000 0.500 0.000
Ru1 Ru 0.000 0.500 0.500
Ru2 Ru 0.500 0.500 0.000
```

## Properties
For the polymorph energy (0 for the lowest one), the calculation gives 0.00 eV/f.u. Its formation energy is -0.23 eV per atom. As for the spin magnetization: 2.52 μB/f.u. The total energy is -7.899 eV per atom.


Here is a relaxed LiY2AuN crystal from Alexandria. Energies are from PBE.

The structure in CIF format:
```
data_LiY2AuN
_space_group_name_H-M_alt 'P 1'
_space_group_IT_number 1
_cell_length_a 4.796
_cell_length_b 4.796
_cell_length_c 4.054
_cell_angle_alpha 90.00
_cell_angle_beta 90.00
_cell_angle_gamma 90.00
loop_
_space_group_symop_operation_xyz
'x,y,z'
loop_
_atom_site_label
_atom_site_type_symbol
_atom_site_fract_x
_atom_site_fract_y
_atom_site_fract_z
Li1 Li 0.000 0.000 0.000
Y1 Y 0.000 0.500 0.500
Y2 Y 0.500 0.000 0.500
Au1 Au 0.500 0.500 0.000
N1 N 0.000 0.000 0.500
```

## Properties
As for the spin magnetization: 0.00 μB/f.u. The total energy is -6.227 eV per atom.


Here is a relaxed Np2Co4AsP3 crystal from Alexandria. Energies are from PBE.

The structure in CIF format:
```
data_Np2Co4AsP3
_space_group_name_H-M_alt 'P 1'
_space_group_IT_number 1
_cell_length_a 3.971
_cell_length_b 3.971
_cell_length_c 9.066
_cell_angle_alpha 90.00
_cell_angle_beta 90.00
_cell_angle_gamma 90.00
loop_
_space_group_symop_operation_xyz
'x,y,z'
loop_
_atom_site_label
_atom_site_type_symbol
_atom_site_fract_x
_atom_site_fract_y
_atom_site_fract_z
Np1 Np 0.000 0.500 0.247
Np2 Np 0.500 0.000 0.753
Co1 Co 0.000 0.000 0.000
Co2 Co 0.000 0.500 0.621
Co3 Co 0.500 0.000 0.379
Co4 Co 0.500 0.500 0.000
As1 As 0.000 0.000 0.500
P1 P 0.000 0.500 0.868
P2 P 0.500 0.000 0.132
P3 P 0.500 0.500 0.500
```

## Properties
Its formation energy is -0.65 eV per atom. As for the spin magnetization: 7.27 μB/f.u. The total energy is -8.170 eV per atom.